w:
Na6Tl12In: relaxed, GGA-PBE.

Lattice parameters (Å, degrees): 8.249 8.249 8.249 91.66 91.66 91.66
Atoms (fractional coordinates):
Tl1 0.792 0.533 0.452
Tl2 0.548 0.208 0.467
Tl3 0.208 0.467 0.548
Tl4 0.467 0.548 0.208
Tl5 0.148 0.371 0.039
Tl6 0.629 0.961 0.852
Tl7 0.961 0.852 0.629
Tl8 0.371 0.039 0.148
Tl9 0.039 0.148 0.371
Tl10 0.852 0.629 0.961
Tl11 0.533 0.452 0.792
Tl12 0.452 0.792 0.533
Na1 0.722 0.884 0.265
Na2 0.884 0.265 0.722
Na3 0.265 0.722 0.884
Na4 0.278 0.116 0.735
Na5 0.116 0.735 0.278
Na6 0.735 0.278 0.116
In1 0.000 0.000 0.000

Space-group type: R-3, No. 148
DOS(E_F): 8.4 states/eV per cell

x:
Na6Tl12In: relaxed, GGA-PBE.

Lattice parameters (Å, degrees): 9.076 9.076 9.076 110.59 110.59 110.59
Atoms (fractional coordinates):
Tl1 0.206 0.471 0.319
Tl2 0.895 0.260 0.838
Tl3 0.529 0.681 0.794
Tl4 0.260 0.838 0.895
Tl5 0.794 0.529 0.681
Tl6 0.838 0.895 0.260
Tl7 0.740 0.162 0.105
Tl8 0.105 0.740 0.162
Tl9 0.681 0.794 0.529
Tl10 0.471 0.319 0.206
Tl11 0.319 0.206 0.471
Tl12 0.162 0.105 0.740
In1 0.000 0.000 0.000
Na1 0.938 0.635 0.420
Na2 0.580 0.062 0.365
Na3 0.420 0.938 0.635
Na4 0.365 0.580 0.062
Na5 0.062 0.365 0.580
Na6 0.635 0.420 0.938

Space-group type: R-3, No. 148
DOS(E_F): 7.9 states/eV per cell

Q: Which of them is the most stable? A: x.

w:
Na6Tl3In: relaxed, GGA-PBE.

Lattice parameters (Å, degrees): 3.455 12.636 15.715 119.58 90.00 90.00
Atoms (fractional coordinates):
Na1 0.250 0.125 0.278
Na2 0.750 0.602 0.701
Na3 0.750 0.387 0.098
Na4 0.750 0.856 0.101
Na5 0.750 0.118 0.480
Na6 0.750 0.875 0.722
Na7 0.250 0.144 0.899
Na8 0.250 0.882 0.520
Na9 0.250 0.613 0.902
Na10 0.250 0.398 0.299
Na11 0.250 0.338 0.694
Na12 0.750 0.662 0.306
In1 0.750 0.117 0.699
In2 0.250 0.883 0.301
Tl1 0.750 0.620 0.499
Tl2 0.750 0.381 0.896
Tl3 0.250 0.619 0.104
Tl4 0.250 0.877 0.913
Tl5 0.750 0.123 0.087
Tl6 0.250 0.380 0.501

Space-group type: P2_1/m, No. 11
DOS(E_F): 8.9 states/eV per cell

x:
Na6Tl3In: relaxed, GGA-PBE.

Lattice parameters (Å, degrees): 5.535 9.214 11.951 108.78 90.00 90.00
Atoms (fractional coordinates):
Tl1 0.750 0.811 0.357
Tl2 0.250 0.804 0.041
Tl3 0.750 0.385 0.767
Tl4 0.750 0.196 0.959
Tl5 0.250 0.615 0.233
Tl6 0.250 0.189 0.643
Na1 0.750 0.213 0.477
Na2 0.250 0.404 0.934
Na3 0.750 0.426 0.275
Na4 0.750 0.596 0.066
Na5 0.250 0.220 0.141
Na6 0.750 0.993 0.660
Na7 0.250 0.787 0.523
Na8 0.250 0.007 0.340
Na9 0.750 0.996 0.152
Na10 0.250 0.004 0.848
Na11 0.250 0.574 0.725
Na12 0.750 0.780 0.859
In1 0.250 0.412 0.441
In2 0.750 0.588 0.559

Space-group type: P2_1/m, No. 11
DOS(E_F): 8.7 states/eV per cell

Q: Which of them is the most stable? A: x.

w:
Na4Tl2In5: relaxed, GGA-PBE.

Lattice parameters (Å, degrees): 3.391 8.169 10.981 93.91 90.00 90.00
Atoms (fractional coordinates):
Na1 0.500 0.839 0.101
Na2 0.500 0.705 0.553
Na3 0.500 0.161 0.899
Na4 0.500 0.295 0.447
In1 0.000 0.435 0.717
In2 0.000 0.500 0.000
In3 0.000 0.205 0.167
In4 0.000 0.795 0.833
In5 0.000 0.565 0.283
Tl1 0.000 0.940 0.359
Tl2 0.000 0.060 0.641

Space-group type: P2/m, No. 10
DOS(E_F): 4.9 states/eV per cell

x:
Na4Tl2In5: relaxed, GGA-PBE.

Lattice parameters (Å, degrees): 7.015 6.272 8.383 68.03 70.36 90.00
Atoms (fractional coordinates):
In1 0.112 0.673 0.132
In2 0.112 0.195 0.132
In3 0.888 0.805 0.868
In4 0.500 0.000 0.000
In5 0.888 0.327 0.868
Na1 0.489 0.611 0.778
Na2 0.181 0.761 0.477
Na3 0.819 0.239 0.523
Na4 0.511 0.389 0.222
Tl1 0.698 0.835 0.330
Tl2 0.302 0.165 0.670

Space-group type: C2/m, No. 12
DOS(E_F): 5.2 states/eV per cell

Q: Which of them is the most stable? A: x.

w:
NaTl6In8: relaxed, GGA-PBE.

Lattice parameters (Å, degrees): 13.571 13.571 13.571 26.17 26.17 26.17
Atoms (fractional coordinates):
Tl1 0.401 0.734 0.067
Tl2 0.599 0.266 0.933
Tl3 0.933 0.599 0.266
Tl4 0.266 0.933 0.599
Tl5 0.734 0.067 0.401
Tl6 0.067 0.401 0.734
In1 0.667 0.667 0.667
In2 0.479 0.132 0.794
In3 0.206 0.521 0.868
In4 0.868 0.206 0.521
In5 0.333 0.333 0.333
In6 0.521 0.868 0.206
In7 0.794 0.479 0.132
In8 0.132 0.794 0.479
Na1 0.000 0.000 0.000

Space-group type: R-3, No. 148
DOS(E_F): 7.4 states/eV per cell

x:
NaTl6In8: relaxed, GGA-PBE.

Lattice parameters (Å, degrees): 8.720 8.720 8.533 59.27 59.27 60.00
Atoms (fractional coordinates):
In1 0.816 0.142 0.586
In2 0.142 0.456 0.586
In3 0.858 0.544 0.414
In4 0.760 0.760 0.719
In5 0.456 0.816 0.586
In6 0.240 0.240 0.281
In7 0.184 0.858 0.414
In8 0.544 0.184 0.414
Tl1 0.617 0.342 0.895
Tl2 0.383 0.658 0.105
Tl3 0.658 0.854 0.105
Tl4 0.854 0.383 0.105
Tl5 0.342 0.146 0.895
Tl6 0.146 0.617 0.895
Na1 0.000 0.000 0.000

Space-group type: R-3, No. 148
DOS(E_F): 7.7 states/eV per cell

Q: Which of them is the most stable? A: w.